Compound: K2SrLa
Source: Alexandria via LeMat-Bulk
Functional: PBE
Structure: optimized geometry

a = 8.298 Å, b = 8.298 Å, c = 8.298 Å
α = 151.32°, β = 127.05°, γ = 61.32°
Each line ends with the local moment (μB).
Sites, in units of the cell vectors:
K (0.997, 0.997, 0.000)  0.01
K (0.752, 0.252, 0.500)  0.01
La (0.494, 0.494, 0.000)  0.28
Sr (0.257, 0.757, 0.500)  0.04

Calculated values
Its total energy is -1.808 eV/atom. The calculation puts the mass density at 2.33 Mg/m³.

Compound: LaAlP3
Source: Alexandria via LeMat-Bulk
Functional: PBE
Structure: optimized geometry

a = 5.448 Å, b = 5.448 Å, c = 5.448 Å
α = 90.00°, β = 90.00°, γ = 90.00°
Sites, in units of the cell vectors:
P (0.000, 0.500, 0.000)
P (0.000, 0.000, 0.500)
P (0.500, 0.000, 0.000)
Al (0.500, 0.500, 0.500)
La (0.000, 0.000, 0.000)

Calculated values
Its total energy is -4.059 eV/atom. The calculation puts the mass density at 2.66 Mg/m³.

Compound: Ac3MgTc2N6
Source: Alexandria via LeMat-Bulk
Functional: PBE
Structure: optimized geometry

a = 5.933 Å, b = 5.933 Å, c = 6.802 Å
α = 90.00°, β = 90.00°, γ = 120.00°
Sites, in units of the cell vectors:
Ac (0.333, 0.667, 0.676)
Ac (0.667, 0.333, 0.324)
Ac (0.000, 0.000, 0.000)
Mg (0.000, 0.000, 0.500)
Tc (0.667, 0.333, 0.791)
Tc (0.333, 0.667, 0.209)
N (0.669, 0.835, 0.300)
N (0.165, 0.331, 0.300)
N (0.165, 0.835, 0.300)
N (0.835, 0.669, 0.700)
N (0.331, 0.165, 0.700)
N (0.835, 0.165, 0.700)

Calculated values
The formation energy (no corrections) comes out at -0.68 eV/atom. Its total energy is -7.733 eV/atom. The calculation puts the mass density at 7.89 Mg/m³.

Compound: NaCu4Ag3Br12
Source: Alexandria via LeMat-Bulk
Functional: PBE
Structure: optimized geometry

a = 8.940 Å, b = 8.940 Å, c = 8.940 Å
α = 105.21°, β = 105.21°, γ = 105.21°
Sites, in units of the cell vectors:
Na (0.000, 0.000, 0.000)
Cu (0.923, 0.077, 0.500)
Cu (0.077, 0.500, 0.923)
Cu (0.500, 0.923, 0.077)
Cu (0.500, 0.500, 0.500)
Ag (0.564, 0.436, 0.000)
Ag (0.436, 0.000, 0.564)
Ag (0.000, 0.564, 0.436)
Br (0.500, 0.336, 0.664)
Br (0.912, 0.500, 0.088)
Br (0.088, 0.912, 0.500)
Br (0.500, 0.088, 0.912)
Br (0.341, 0.985, 0.232)
Br (0.232, 0.341, 0.985)
Br (0.985, 0.232, 0.341)
Br (0.659, 0.768, 0.015)
Br (0.015, 0.659, 0.768)
Br (0.768, 0.015, 0.659)
Br (0.664, 0.500, 0.336)
Br (0.336, 0.664, 0.500)

Calculated values
The formation energy (no corrections) comes out at -0.36 eV/atom. Its total energy is -2.678 eV/atom. The calculation puts the mass density at 4.16 Mg/m³.

Compound: Na2H4Rh
Source: Alexandria via LeMat-Bulk
Functional: PBE
Structure: optimized geometry

a = 2.956 Å, b = 5.391 Å, c = 5.495 Å
α = 121.20°, β = 105.60°, γ = 90.00°
Sites, in units of the cell vectors:
Na (0.662, 0.654, 0.324)
Na (0.338, 0.346, 0.676)
H (0.987, 0.294, 0.974)
H (0.013, 0.706, 0.026)
H (0.618, 0.135, 0.236)
H (0.382, 0.865, 0.764)
Rh (0.000, 0.000, 0.000)

Calculated values
Its total energy is -3.587 eV/atom. The calculation puts the mass density at 3.57 Mg/m³.

Compound: PrGaSn2
Source: Alexandria via LeMat-Bulk
Functional: PBE
Structure: optimized geometry

a = 4.836 Å, b = 4.600 Å, c = 4.600 Å
α = 90.00°, β = 90.00°, γ = 90.00°
Sites, in units of the cell vectors:
Pr (0.500, 0.500, 0.500)
Sn (0.000, 0.000, 0.500)
Sn (0.000, 0.500, 0.000)
Ga (0.500, 0.000, 0.000)

Calculated values
Its total energy is -4.474 eV/atom. The calculation puts the mass density at 7.27 Mg/m³.

Compound: Hf6Sn2C
Source: Alexandria via LeMat-Bulk
Functional: PBE
Structure: optimized geometry

a = 6.335 Å, b = 6.335 Å, c = 8.932 Å
α = 90.00°, β = 90.00°, γ = 90.00°
Sites, in units of the cell vectors:
Hf (0.000, 0.000, 0.244)
Hf (0.744, 0.745, 0.500)
Hf (0.755, 0.756, 0.000)
Hf (0.745, 0.256, 0.500)
Hf (0.756, 0.245, 0.000)
Hf (0.500, 0.500, 0.256)
Hf (0.000, 0.000, 0.756)
Hf (0.256, 0.255, 0.500)
Hf (0.245, 0.244, 0.000)
Hf (0.255, 0.744, 0.500)
Hf (0.244, 0.755, 0.000)
Hf (0.500, 0.500, 0.744)
Sn (0.000, 0.500, 0.750)
Sn (0.500, 0.000, 0.750)
Sn (0.500, 0.000, 0.250)
Sn (0.000, 0.500, 0.250)
C (0.500, 0.500, 0.000)
C (0.000, 0.000, 0.500)

Calculated values
Its total energy is -8.951 eV/atom. The calculation puts the mass density at 12.23 Mg/m³.

Compound: TbDy2Tl4
Source: Alexandria via LeMat-Bulk
Functional: PBE
Structure: optimized geometry

a = 4.871 Å, b = 4.871 Å, c = 10.542 Å
α = 76.64°, β = 76.64°, γ = 60.00°
Sites, in units of the cell vectors:
Tb (0.000, 0.000, 0.000)
Dy (0.129, 0.129, 0.612)
Dy (0.871, 0.871, 0.388)
Tl (0.382, 0.382, 0.853)
Tl (0.243, 0.243, 0.270)
Tl (0.757, 0.757, 0.730)
Tl (0.618, 0.618, 0.147)

Calculated values
Its total energy is -3.414 eV/atom. The calculation puts the mass density at 10.35 Mg/m³.